# 1
# Tb12NdTm6

An optimized crystal structure of Tb12NdTm6 (PBE, Alexandria via LeMat-Bulk).

Unit cell a=14.9644 b=14.9644 c=10.0820 alpha=90.00 beta=90.00 gamma=120.00
Space group R-3m (No. 166, hexagonal axes)
Inequivalent atoms, fractional coordinates:
Tb 0.0000 0.3887 0.0000 [18 per cell]
Tb 0.0732 0.1465 0.7957 [18 per cell]
Nd 0.0000 0.0000 0.5000 [3 per cell]
Tm 0.0527 0.5264 0.7151 [18 per cell]

Calculated values
ΔE to the lowest computed polymorph = 281.1 meV/atom

---

# 2
# Tb3Nd4Tm2

An optimized crystal structure of Tb3Nd4Tm2 (PBE, Alexandria via LeMat-Bulk).

Unit cell a=12.8468 b=3.6547 c=14.3974 alpha=90.00 beta=115.93 gamma=90.00
Space group C2/m (No. 12)
Inequivalent atoms, fractional coordinates:
Tb 0.0000 0.0000 0.0000 [2 per cell]
Tb 0.0082 0.0000 0.3876 [4 per cell]
Nd 0.2168 0.5000 0.6086 [4 per cell]
Nd 0.2216 0.0000 0.8720 [4 per cell]
Tm 0.0491 0.5000 0.2092 [4 per cell]

Calculated values
ΔE to the lowest computed polymorph = 30.1 meV/atom

---

# 3
# Tb2Nd3Tm5

An optimized crystal structure of Tb2Nd3Tm5 (PBE, Alexandria via LeMat-Bulk).

Unit cell a=12.8715 b=16.7934 c=6.2988 alpha=90.00 beta=90.00 gamma=90.00
Space group Ibam (No. 72)
Inequivalent atoms, fractional coordinates:
Tb 0.1060 0.1559 0.0000 [8 per cell]
Nd 0.0000 0.0000 0.2500 [4 per cell]
Nd 0.1567 0.2442 0.5000 [8 per cell]
Tm 0.0000 0.5000 0.2500 [4 per cell]
Tm 0.0978 0.3448 0.0000 [8 per cell]
Tm 0.2454 0.5000 0.2500 [8 per cell]

Calculated values
ΔE to the lowest computed polymorph = 146.4 meV/atom

---

# 4
# Tb4Nd2Tm3

An optimized crystal structure of Tb4Nd2Tm3 (PBE, Alexandria via LeMat-Bulk).

Unit cell a=16.1491 b=11.6479 c=6.1540 alpha=90.00 beta=96.09 gamma=90.00
Space group C2/c (No. 15)
Inequivalent atoms, fractional coordinates:
Tb 0.0476 0.1405 0.0140 [8 per cell]
Tb 0.2156 0.3606 0.8476 [8 per cell]
Nd 0.1207 0.3551 0.3211 [8 per cell]
Tm 0.0000 0.4009 0.7500 [4 per cell]
Tm 0.1654 0.0985 0.5906 [8 per cell]

---

# 5
# Tb2Nd2Tm5

An optimized crystal structure of Tb2Nd2Tm5 (PBE, Alexandria via LeMat-Bulk).

Unit cell a=14.8919 b=11.7083 c=6.7140 alpha=90.00 beta=90.00 gamma=90.00
Space group Ima2 (No. 46)
Inequivalent atoms, fractional coordinates:
Tb 0.0000 0.0000 0.0000 [4 per cell]
Tb 0.2500 0.0131 0.1053 [4 per cell]
Nd 0.1271 0.5063 0.0534 [8 per cell]
Tm 0.0536 0.7403 0.7038 [8 per cell]
Tm 0.1424 0.2362 0.8849 [8 per cell]
Tm 0.2500 0.7498 0.4051 [4 per cell]

Calculated values
ΔE to the lowest computed polymorph = 0.0 meV/atom

---

# 6
# Tb6NdTm12

An optimized crystal structure of Tb6NdTm12 (PBE, Alexandria via LeMat-Bulk).

Unit cell a=14.7072 b=14.7072 c=10.3704 alpha=90.00 beta=90.00 gamma=120.00
Space group R-3m (No. 166, hexagonal axes)
Inequivalent atoms, fractional coordinates:
Tb 0.0672 0.5336 0.2215 [18 per cell]
Nd 0.0000 0.0000 0.0000 [3 per cell]
Tm 0.0000 0.3879 0.5000 [18 per cell]
Tm 0.0780 0.1560 0.2638 [18 per cell]

Calculated values
ΔE to the lowest computed polymorph = 285.3 meV/atom

---

# 7
# Tb3Nd8Tm3

An optimized crystal structure of Tb3Nd8Tm3 (PBE, Alexandria via LeMat-Bulk).

Unit cell a=5.6864 b=10.9036 c=15.1951 alpha=90.00 beta=90.00 gamma=90.00
Space group Immm (No. 71)
Inequivalent atoms, fractional coordinates:
Tb 0.0000 0.0000 0.0000 [2 per cell]
Tb 0.0000 0.5000 0.3207 [4 per cell]
Nd 0.0000 0.1577 0.2761 [8 per cell]
Nd 0.0000 0.3370 0.1035 [8 per cell]
Tm 0.0000 0.0000 0.5000 [2 per cell]
Tm 0.0000 0.3015 0.5000 [4 per cell]

---

# 8
# Tb2NdTm5

An optimized crystal structure of Tb2NdTm5 (PBE, Alexandria via LeMat-Bulk).

Unit cell a=6.7015 b=9.2619 c=9.3933 alpha=61.48 beta=88.18 gamma=87.82
Space group P-1 (No. 2)
Inequivalent atoms, fractional coordinates:
Tb 0.0810 0.1252 0.0707 [2 per cell]
Tb 0.4182 0.8159 0.0607 [2 per cell]
Nd 0.2434 0.5384 0.9558 [2 per cell]
Tm 0.0831 0.5576 0.3147 [2 per cell]
Tm 0.1067 0.8323 0.5656 [2 per cell]
Tm 0.2809 0.1522 0.6753 [2 per cell]
Tm 0.4076 0.1623 0.3135 [2 per cell]
Tm 0.4115 0.5439 0.6220 [2 per cell]

---

# 9
# TbNd2Tm

An optimized crystal structure of TbNd2Tm (PBE, Alexandria via LeMat-Bulk).

Unit cell a=5.1153 b=5.1153 c=5.0445 alpha=90.00 beta=90.00 gamma=90.00
Space group P4/mmm (No. 123)
Inequivalent atoms, fractional coordinates:
Tb 0.0000 0.0000 0.0000 [1 per cell]
Nd 0.0000 0.5000 0.5000 [2 per cell]
Tm 0.5000 0.5000 0.0000 [1 per cell]

Calculated values
ΔE to the lowest computed polymorph = 4.9 meV/atom

---

no.,energy of formation (meV/atom)
1,433.4
2,85.6
3,337.5
4,90.5
5,213.7
6,447.8
7,106.0
8,152.8
9,19.1